Run 1
# AgWCl

An optimized crystal structure of AgWCl (PBE, Alexandria via LeMat-Bulk).

The total magnetization comes out at 0.00 μB per formula unit. The density of states at the Fermi level comes out at 0.46 states/eV/atom.

The structure belongs to space group I4mm (No. 107); the cell edges are 2.921, 2.921 and 13.464 Å and the angles 90.00°, 90.00° and 90.00°. The distinct sites, in fractional coordinates, are Ag at (0.000, 0.000, 0.000), W at (0.000, 0.000, 0.355) and Cl at (0.000, 0.000, 0.735).



Run 2
# AgWCl

An optimized crystal structure of AgWCl (PBE, Alexandria via LeMat-Bulk).

The total magnetization comes out at 0.00 μB per formula unit. The density of states at the Fermi level comes out at 0.56 states/eV/atom.

The structure belongs to space group Fmm2 (No. 42); the cell edges are 3.009, 5.037 and 14.899 Å and the angles 90.00°, 90.00° and 90.00°. The distinct sites, in fractional coordinates, are Ag at (0.000, 0.000, 0.000), W at (0.000, 0.000, 0.339) and Cl at (0.000, 0.000, 0.709).



Which is the most stable structure? run 2 is the most stable.



Run 1
# AgWCl4

An optimized crystal structure of AgWCl4 (PBE, Alexandria via LeMat-Bulk).

The total magnetization comes out at 3.00 μB per formula unit.

The structure belongs to space group C2/c (No. 15); the cell edges are 12.773, 8.215 and 6.405 Å and the angles 90.00°, 94.99° and 90.00°. The distinct sites, in fractional coordinates, are Ag at (0.000, 0.094, 0.250), W at (0.000, 0.384, 0.750), Cl at (0.106, 0.402, 0.090) and Cl at (0.108, 0.174, 0.613).



Run 2
# AgWCl4

An optimized crystal structure of AgWCl4 (PBE, Alexandria via LeMat-Bulk).

The total magnetization comes out at 2.82 μB per formula unit. The density of states at the Fermi level comes out at 1.00 states/eV/atom.

The structure belongs to space group F-43m (No. 216); the cell edges are 8.192, 8.192 and 8.192 Å and the angles 90.00°, 90.00° and 90.00°. The distinct sites, in fractional coordinates, are Ag at (0.000, 0.000, 0.000), W at (0.250, 0.250, 0.250) and Cl at (0.125, 0.125, 0.625).



Which is the most stable structure? run 1 is the most stable.